DFT (PBE-GGA) results for a relaxed structure of Al2CuPt.

The structure in POSCAR format:
```
Al2CuPt
1.0
4.329 0.000 0.000
2.164 3.749 0.000
2.164 1.250 3.535
Cu Pt Al
1 1 2
direct
0.500 0.500 0.500 Cu
0.750 0.750 0.750 Pt
0.000 0.000 0.000 Al
0.250 0.250 0.250 Al
```

energy of formation from the pure elements: -0.382 eV per atom
symmetry: F-43m
size of the total moment: 0.00 μB/atom

***

DFT (PBE-GGA) results for a relaxed structure of ScTeBr.

The structure in POSCAR format:
```
ScTeBr
1.0
-6.932 2.462 1.706
-7.262 -1.943 -0.715
7.206 -1.478 1.706
Br Sc Te
1 1 1
direct
0.956 0.956 0.000 Br
0.329 0.329 0.000 Sc
0.716 0.716 0.000 Te
```

calculated total energy: -4.79 eV/atom
symmetry: I4mm
size of the total moment: 0.00 μB/atom

***

DFT (PBE-GGA) results for a relaxed structure of TbScZnFe.

The structure in POSCAR format:
```
TbScZnFe
1.0
4.761 0.000 0.000
2.381 4.123 0.000
2.381 1.374 3.887
Sc Zn Tb Fe
1 1 1 1
direct
0.000 0.000 0.000 Sc
0.250 0.250 0.250 Zn
0.500 0.500 0.500 Tb
0.750 0.750 0.750 Fe
```

energy of formation from the pure elements: -0.102 eV per atom
symmetry: F-43m
size of the total moment: 0.26 μB/atom

***

DFT (PBE-GGA) results for a relaxed structure of Al2ReAs.

The structure in POSCAR format:
```
Al2ReAs
1.0
2.954 0.000 0.000
0.000 2.883 -0.020
0.000 0.055 7.928
Re As Al
1 1 2
direct
0.500 0.750 0.750 Re
0.500 0.250 0.250 As
0.000 0.250 0.958 Al
0.000 0.250 0.542 Al
```

energy above the most stable polymorph in this dataset: 0.036 eV/atom
energy of formation from the pure elements: -0.030 eV per atom
symmetry: Pmmm
size of the total moment: 0.00 μB/atom

***

DFT (PBE-GGA) results for a relaxed structure of Ba2CuB.

The structure in POSCAR format:
```
Ba2CuB
1.0
8.155 0.000 0.000
0.000 8.155 0.000
4.077 4.077 4.212
B Ba Cu
2 4 2
direct
0.500 0.500 0.000 B
0.250 0.750 0.500 B
0.586 0.125 0.250 Ba
0.164 0.625 0.250 Ba
0.375 0.414 0.750 Ba
0.875 0.836 0.750 Ba
0.000 0.000 0.000 Cu
0.750 0.250 0.500 Cu
```

energy of formation from the pure elements: 0.786 eV per atom
symmetry: I-42d
size of the total moment: 0.00 μB/atom

***

DFT (PBE-GGA) results for a relaxed structure of PmThTl.

The structure in POSCAR format:
```
PmThTl
1.0
4.149 0.000 0.000
0.000 4.149 0.000
-2.075 -2.075 5.236
Tl Th Pm
1 1 1
direct
0.947 0.947 0.894 Tl
0.611 0.611 0.222 Th
0.292 0.292 0.585 Pm
```

energy above the most stable polymorph in this dataset: 0.080 eV/atom
energy of formation from the pure elements: -0.082 eV per atom
symmetry: I4mm
size of the total moment: 0.00 μB/atom

***

DFT (PBE-GGA) results for a relaxed structure of CaLaMg2Ge2.

The structure in POSCAR format:
```
CaLaMg2Ge2
1.0
-4.570 0.278 0.977
1.408 -0.934 -4.366
-0.121 -7.409 1.546
Ca La Mg Ge
1 1 2 2
direct
0.000 0.000 0.500 Ca
0.000 0.000 0.000 La
0.333 0.667 0.718 Mg
0.667 0.333 0.282 Mg
0.333 0.667 0.258 Ge
0.667 0.333 0.742 Ge
```

energy of formation from the pure elements: -0.542 eV per atom
symmetry: P-3m1
size of the total moment: 0.00 μB/atom

***

DFT (PBE-GGA) results for a relaxed structure of TlZnMo2.

The structure in POSCAR format:
```
TlZnMo2
1.0
4.363 0.000 0.000
0.000 2.883 -0.043
0.000 1.153 5.590
Mo Tl Zn
2 1 1
direct
0.000 0.029 0.999 Mo
0.500 0.196 0.218 Mo
0.000 0.588 0.502 Tl
0.500 0.687 0.782 Zn
```

energy above the most stable polymorph in this dataset: 0.109 eV/atom
energy of formation from the pure elements: 0.445 eV per atom
symmetry: Pm
size of the total moment: 0.00 μB/atom

***

DFT (PBE-GGA) results for a relaxed structure of Zn2AsRuPt.

The structure in POSCAR format:
```
Zn2AsRuPt
1.0
-0.024 4.179 -2.236
-4.380 -0.547 -0.976
-1.173 2.162 4.052
Ru As Zn Pt
1 1 2 1
direct
0.000 0.000 0.000 Ru
0.000 0.500 0.000 As
0.000 0.000 0.500 Zn
0.500 0.000 0.000 Zn
0.500 0.500 0.500 Pt
```

energy of formation from the pure elements: 0.549 eV per atom
symmetry: P4/mmm
size of the total moment: 0.00 μB/atom

***

DFT (PBE-GGA) results for a relaxed structure of Pr4CuHg2.

The structure in POSCAR format:
```
Pr4CuHg2
1.0
-1.267 -3.896 -3.143
2.598 -3.283 3.023
-7.073 2.333 4.201
Pr Hg Cu
4 2 1
direct
0.386 0.886 0.773 Pr
0.886 0.386 0.773 Pr
0.614 0.114 0.227 Pr
0.114 0.614 0.227 Pr
0.750 0.750 0.499 Hg
0.250 0.250 0.501 Hg
0.000 0.000 0.000 Cu
```

energy of formation from the pure elements: -0.212 eV per atom
symmetry: I4/mmm
size of the total moment: 0.00 μB/atom

***

DFT (PBE-GGA) results for a relaxed structure of YEr10Tm4.

The structure in POSCAR format:
```
YEr10Tm4
1.0
-6.631 -1.155 -3.506
-5.813 -5.596 4.624
-6.604 6.148 2.252
Y Er Tm
1 10 4
direct
0.000 0.000 0.000 Y
0.250 0.500 0.500 Er
0.648 0.302 0.899 Er
0.050 0.101 0.302 Er
0.453 0.899 0.698 Er
0.849 0.698 0.101 Er
0.352 0.698 0.101 Er
0.750 0.500 0.500 Er
0.151 0.302 0.899 Er
0.547 0.101 0.302 Er
0.950 0.899 0.698 Er
0.400 0.800 0.400 Tm
0.800 0.600 0.800 Tm
0.200 0.400 0.200 Tm
0.600 0.200 0.600 Tm
```

energy of formation from the pure elements: 0.728 eV per atom
symmetry: I4/m
size of the total moment: 0.00 μB/atom

***

DFT (PBE-GGA) results for a relaxed structure of PmDy2Si.

The structure in POSCAR format:
```
PmDy2Si
1.0
-3.485 -1.271 -0.570
-1.121 -0.916 -3.463
1.552 -9.828 0.064
Pm Dy Si
1 2 1
direct
0.501 0.501 0.497 Pm
0.063 0.063 0.811 Dy
0.270 0.270 0.190 Dy
0.666 0.666 0.001 Si
```

energy above the most stable polymorph in this dataset: 0.076 eV/atom
symmetry: R3m
size of the total moment: 0.06 μB/atom

***

DFT (PBE-GGA) results for a relaxed structure of Sr2MoAsP.

The structure in POSCAR format:
```
Sr2MoAsP
1.0
5.702 0.000 0.000
0.000 4.612 0.000
0.000 0.000 5.702
Sr Mo As P
2 1 1 1
direct
0.000 0.000 0.500 Sr
0.500 0.000 0.000 Sr
0.000 0.500 0.000 Mo
0.500 0.500 0.500 As
0.000 0.000 0.000 P
```

energy of formation from the pure elements: -0.132 eV per atom
symmetry: P4/mmm
size of the total moment: 0.51 μB/atom

***

DFT (PBE-GGA) results for a relaxed structure of Nd4ScSe7.

The structure in POSCAR format:
```
Nd4ScSe7
1.0
4.058 0.000 0.000
-2.029 6.558 -1.760
0.000 -0.017 12.346
Nd Sc Se
4 1 7
direct
0.697 0.395 0.800 Nd
0.302 0.605 0.196 Nd
0.999 0.998 0.994 Nd
0.111 0.222 0.432 Nd
0.887 0.775 0.576 Sc
0.746 0.492 0.363 Se
0.274 0.548 0.647 Se
0.336 0.671 0.947 Se
0.661 0.322 0.051 Se
0.032 0.065 0.771 Se
0.964 0.927 0.216 Se
0.490 0.980 0.507 Se
```

calculated total energy: -5.99 eV/atom
symmetry: Cm
size of the total moment: 0.00 μB/atom

***

DFT (PBE-GGA) results for a relaxed structure of AgTeH3.

The structure in POSCAR format:
```
AgTeH3
1.0
-0.257 1.787 -3.459
1.991 -2.918 -1.656
-3.345 -1.874 -0.720
H Te Ag
3 1 1
direct
0.000 0.500 0.000 H
0.000 0.000 0.500 H
0.500 0.000 0.000 H
0.500 0.500 0.500 Te
0.000 0.000 0.000 Ag
```

energy above the most stable polymorph in this dataset: 0.067 eV/atom
symmetry: Pm-3m
size of the total moment: 0.00 μB/atom

***

DFT (PBE-GGA) results for a relaxed structure of LaNi4.

The structure in POSCAR format:
```
LaNi4
1.0
-3.245 1.055 3.144
-3.307 -0.707 -3.177
-0.243 -4.463 1.246
Ni La
4 1
direct
0.000 0.000 0.000 Ni
0.500 0.000 0.500 Ni
0.000 0.500 0.500 Ni
0.500 0.500 0.000 Ni
0.500 0.500 0.500 La
```

energy of formation from the pure elements: 1.505 eV per atom
symmetry: Pm-3m
size of the total moment: 0.06 μB/atom

***

DFT (PBE-GGA) results for a relaxed structure of RbZnCl3.

The structure in POSCAR format:
```
RbZnCl3
1.0
-14.542 5.623 13.380
-8.237 -1.271 4.561
8.990 -1.915 -2.404
Zn Rb Cl
2 2 6
direct
0.850 0.027 0.973 Zn
0.150 0.973 0.027 Zn
0.579 0.036 0.964 Rb
0.421 0.964 0.036 Rb
0.705 0.275 0.725 Cl
0.295 0.725 0.275 Cl
0.004 0.366 0.634 Cl
0.996 0.634 0.366 Cl
0.331 0.879 0.121 Cl
0.669 0.121 0.879 Cl
```

calculated total energy: -3.02 eV/atom
symmetry: C2/m
size of the total moment: 0.00 μB/atom

***

DFT (PBE-GGA) results for a relaxed structure of Ni2PdPt4.

The structure in POSCAR format:
```
Ni2PdPt4
1.0
2.663 -0.002 0.000
0.005 6.349 0.000
0.001 0.000 6.349
Ni Pd Pt
2 1 4
direct
0.500 0.500 0.000 Ni
0.500 0.000 0.500 Ni
0.000 0.000 0.000 Pd
0.000 0.710 0.290 Pt
0.000 0.290 0.290 Pt
0.000 0.290 0.710 Pt
0.000 0.710 0.710 Pt
```

energy above the most stable polymorph in this dataset: 0.000 eV/atom
energy of formation from the pure elements: 0.121 eV per atom
symmetry: P4/mmm
size of the total moment: 0.00 μB/atom

***

DFT (PBE-GGA) results for a relaxed structure of Pr6Ir2SeCl3.

The structure in POSCAR format:
```
Pr6Ir2SeCl3
1.0
-6.030 3.710 -2.102
1.731 -6.384 -3.286
-2.531 -2.738 6.753
Pr Ir Se Cl
6 2 1 3
direct
0.928 0.571 0.787 Pr
0.713 0.713 0.211 Pr
0.072 0.429 0.213 Pr
0.571 0.928 0.787 Pr
0.287 0.287 0.789 Pr
0.429 0.072 0.213 Pr
0.333 0.667 0.000 Ir
0.667 0.333 0.000 Ir
0.000 0.000 0.000 Se
0.159 0.841 0.500 Cl
0.841 0.159 0.500 Cl
0.500 0.500 0.500 Cl
```

calculated total energy: -5.95 eV/atom
symmetry: C2/m
size of the total moment: 0.00 μB/atom

***

DFT (PBE-GGA) results for a relaxed structure of Ac2UPdRh6.

The structure in POSCAR format:
```
Ac2UPdRh6
1.0
8.485 -0.077 1.977
0.036 5.658 0.069
5.683 2.721 6.017
Ac U Pd Rh
2 1 1 6
direct
0.294 0.707 0.586 Ac
0.706 0.293 0.414 Ac
0.500 0.500 0.000 U
0.000 0.000 0.000 Pd
0.254 0.745 0.017 Rh
0.746 0.762 0.983 Rh
0.240 0.255 0.490 Rh
0.746 0.255 0.983 Rh
0.254 0.238 0.017 Rh
0.760 0.745 0.510 Rh
```

energy of formation from the pure elements: -0.397 eV per atom
symmetry: R-3m
size of the total moment: 0.00 μB/atom